Density functional theory data (GGA-PBE) for a relaxed Ac6Ir2RhI3 crystal.

Properties
ΔE_f (raw) ... -1.06 eV per atom
DFT total energy ... -5.5913 eV per atom
Symmetry ... C2/m, No. 12

Unit cell a=7.6083 b=7.6083 c=9.0090 alpha=98.09 beta=98.09 gamma=119.99
Last column: nearest neighbours and their distance in Å.
Sites, in units of the cell vectors:
Ac: 0.1042 0.4388 0.8163  2 Ir 2.99, 1 Rh 3.00
Ac: 0.2267 0.2267 0.1838  2 Ir 2.99, 1 Rh 3.00
Ac: 0.4388 0.1042 0.8163  2 Ir 2.99, 1 Rh 3.00
Ac: 0.5612 0.8958 0.1837  2 Ir 2.99, 1 Rh 3.00
Ac: 0.7733 0.7733 0.8162  2 Ir 2.99, 1 Rh 3.00
Ac: 0.8958 0.5612 0.1837  2 Ir 2.99, 1 Rh 3.00
Ir: 0.1666 0.8334 0.0000  6 Ac 2.99
Ir: 0.8334 0.1666 0.0000  6 Ac 2.99
Rh: 0.5000 0.5000 0.0000  6 Ac 3.00
I: 0.0000 0.0000 0.5000  6 Ac 3.72-3.73
I: 0.3333 0.6667 0.5000  6 Ac 3.72-3.73
I: 0.6667 0.3333 0.5000  6 Ac 3.72-3.73



Density functional theory data (GGA-PBE) for a relaxed SmSc2Rh crystal.

Properties
Distance to the lowest polymorph of the same formula ... 0.00 eV per formula unit
DFT total energy ... -6.6820 eV per atom
Symmetry ... Pnma, No. 62

Unit cell a=6.9888 b=8.8867 c=6.1106 alpha=90.00 beta=90.00 gamma=90.00
Last column: nearest neighbours and their distance in Å.
Sites, in units of the cell vectors:
Sm: 0.0307 0.2500 0.1292  2 Rh 2.80-2.96
Sm: 0.4693 0.7500 0.6292  2 Rh 2.80-2.96
Sm: 0.5307 0.2500 0.3708  2 Rh 2.80-2.96
Sm: 0.9693 0.7500 0.8708  2 Rh 2.80-2.96
Sc: 0.1759 0.0626 0.6614  2 Rh 2.67-2.70
Sc: 0.1759 0.4374 0.6614  2 Rh 2.67-2.70
Sc: 0.3241 0.5626 0.1614  2 Rh 2.67-2.70
Sc: 0.3241 0.9374 0.1614  2 Rh 2.67-2.70
Sc: 0.6759 0.0626 0.8386  2 Rh 2.67-2.70
Sc: 0.6759 0.4374 0.8386  2 Rh 2.67-2.70
Sc: 0.8241 0.5626 0.3386  2 Rh 2.67-2.70
Sc: 0.8241 0.9374 0.3386  2 Rh 2.67-2.70
Rh: 0.1155 0.7500 0.4160  4 Sc 2.67-2.70, 2 Sm 2.80-2.96
Rh: 0.3845 0.2500 0.9160  4 Sc 2.67-2.70, 2 Sm 2.80-2.96
Rh: 0.6155 0.7500 0.0840  4 Sc 2.67-2.70, 2 Sm 2.80-2.96
Rh: 0.8845 0.2500 0.5840  4 Sc 2.67-2.70, 2 Sm 2.80-2.96



Density functional theory data (GGA-PBE) for a relaxed CsRb2SbPd crystal.

Properties
ΔE_f (raw) ... -0.21 eV per atom
DFT total energy ... -2.6265 eV per atom
Symmetry ... P4/mmm, No. 123

Unit cell a=6.4746 b=6.4746 c=5.2332 alpha=90.00 beta=90.00 gamma=90.00
Last column: nearest neighbours and their distance in Å.
Sites, in units of the cell vectors:
Cs: 0.0000 0.0000 0.0000  8 Rb 4.16, 4 Sb 4.58
Rb: 0.0000 0.5000 0.5000  2 Pd 3.24
Rb: 0.5000 0.0000 0.5000  2 Pd 3.24
Sb: 0.5000 0.5000 0.0000  2 Pd 2.62
Pd: 0.5000 0.5000 0.5000  2 Sb 2.62



Density functional theory data (GGA-PBE) for a relaxed Al2HgF crystal.

Properties
Distance to the lowest polymorph of the same formula ... 0.00 eV per formula unit
ΔE_f (raw) ... -0.57 eV per atom
DFT total energy ... -2.9852 eV per atom
Symmetry ... I-42d, No. 122

Unit cell a=7.5572 b=7.5572 c=7.5572 alpha=142.31 beta=142.31 gamma=54.36
Last column: nearest neighbours and their distance in Å.
Sites, in units of the cell vectors:
Al: 0.0074 0.6250 0.8824  2 F 2.18
Al: 0.3750 0.2574 0.3824  2 F 2.18
Al: 0.7426 0.1250 0.1176  2 F 2.18
Al: 0.8750 0.9926 0.6176  2 F 2.18
Hg: 0.2500 0.7500 0.5000  4 Al 2.74
Hg: 0.5000 0.5000 0.0000  4 Al 2.74
F: 0.0000 0.0000 0.0000  4 Al 2.18
F: 0.7500 0.2500 0.5000  4 Al 2.18



Density functional theory data (GGA-PBE) for a relaxed Na2Ga2SnO6 crystal.

Properties
ΔE_f (raw) ... -1.76 eV per atom
DFT total energy ... -5.6174 eV per atom
Symmetry ... P-31m, No. 162

Unit cell a=5.2741 b=5.2741 c=5.7159 alpha=90.00 beta=90.00 gamma=120.00
Last column: nearest neighbours and their distance in Å.
Sites, in units of the cell vectors:
Na: 0.3333 0.6667 0.0000  6 O 2.48
Na: 0.6667 0.3333 0.0000  6 O 2.48
Ga: 0.3333 0.6667 0.5000  6 O 2.04
Ga: 0.6667 0.3333 0.5000  6 O 2.04
Sn: 0.0000 0.0000 0.5000  6 O 2.12
O: 0.0000 0.3448 0.6890  2 Ga 2.04, 1 Sn 2.12
O: 0.0000 0.6552 0.3110  2 Ga 2.04, 1 Sn 2.12
O: 0.3448 0.0000 0.6890  2 Ga 2.04, 1 Sn 2.12
O: 0.3448 0.3448 0.3110  2 Ga 2.04, 1 Sn 2.12
O: 0.6552 0.0000 0.3110  2 Ga 2.04, 1 Sn 2.12
O: 0.6552 0.6552 0.6890  2 Ga 2.04, 1 Sn 2.12



Density functional theory data (GGA-PBE) for a relaxed AlRu2Cl crystal.

Properties
Distance to the lowest polymorph of the same formula ... 1.30 eV per formula unit
ΔE_f (raw) ... 0.22 eV per atom
DFT total energy ... -5.8145 eV per atom
Symmetry ... Pmm2, No. 25

Unit cell a=2.8662 b=3.8243 c=5.6848 alpha=90.00 beta=90.00 gamma=90.00
Last column: nearest neighbours and their distance in Å.
Sites, in units of the cell vectors:
Al: 0.0000 0.0000 0.0000  5 Ru 2.54-2.66
Ru: 0.0000 0.0000 0.5524  1 Al 2.54, 4 Cl 2.58, 4 Ru 2.76
Ru: 0.5000 0.5000 0.7946  1 Cl 2.35
Cl: 0.5000 0.5000 0.3809  5 Ru 2.35-2.58



Density functional theory data (GGA-PBE) for a relaxed Cr2AsAu crystal.

Properties
DFT total energy ... -6.5441 eV per atom
Symmetry ... Imm2, No. 44

Unit cell a=6.2804 b=6.2804 c=6.2804 alpha=148.38 beta=146.30 gamma=46.88
Last column: nearest neighbours and their distance in Å.
Sites, in units of the cell vectors:
Cr: 0.0000 0.0000 0.0000  2 As 2.54, 4 Au 2.75
Cr: 0.7194 0.2194 0.5000  4 As 2.58, 2 Au 2.77
As: 0.1635 0.6635 0.5000  6 Cr 2.54-2.58
Au: 0.4000 0.4000 0.0000  6 Cr 2.75-2.77



Density functional theory data (GGA-PBE) for a relaxed Nd6SmAl crystal.

Properties
Distance to the lowest polymorph of the same formula ... 0.00 eV per formula unit
DFT total energy ... -4.6918 eV per atom
Symmetry ... P4/mmm, No. 123

Unit cell a=4.9952 b=4.9952 c=10.3168 alpha=90.00 beta=90.00 gamma=90.00
Last column: nearest neighbours and their distance in Å.
Sites, in units of the cell vectors:
Nd: 0.0000 0.0000 0.0000  8 Nd 3.49, 4 Al 3.53
Nd: 0.0000 0.0000 0.5000  4 Sm 3.53, 8 Nd 3.69
Nd: 0.0000 0.5000 0.2368  2 Al 3.49, 8 Nd 3.49-3.69, 2 Sm 3.69
Nd: 0.0000 0.5000 0.7632  8 Nd 3.49-3.69, 2 Al 3.49, 2 Sm 3.69
Nd: 0.5000 0.0000 0.2368  2 Al 3.49, 8 Nd 3.49-3.69, 2 Sm 3.69
Nd: 0.5000 0.0000 0.7632  8 Nd 3.49-3.69, 2 Al 3.49, 2 Sm 3.69
Sm: 0.5000 0.5000 0.5000  12 Nd 3.53-3.69
Al: 0.5000 0.5000 0.0000  12 Nd 3.49-3.53



Density functional theory data (GGA-PBE) for a relaxed SrRu2Au crystal.

Properties
Distance to the lowest polymorph of the same formula ... 3.31 eV per formula unit
DFT total energy ... -4.9594 eV per atom
Symmetry ... R-3m, No. 166

Unit cell a=9.9047 b=9.9047 c=9.9047 alpha=17.14 beta=17.14 gamma=17.14
Last column: nearest neighbours and their distance in Å.
Sites, in units of the cell vectors:
Sr: 0.0000 0.0000 0.0000  6 Sr 2.95, 6 Ru 3.15
Ru: 0.2430 0.2430 0.2430  3 Au 2.81, 6 Ru 2.95, 3 Sr 3.15
Ru: 0.7570 0.7570 0.7570  3 Au 2.81, 6 Ru 2.95, 3 Sr 3.15
Au: 0.5000 0.5000 0.5000  6 Ru 2.81, 6 Au 2.95



Density functional theory data (GGA-PBE) for a relaxed AcTl2GeSe4 crystal.

Properties
ΔE_f (raw) ... -0.77 eV per atom
DFT total energy ... -4.1914 eV per atom
Symmetry ... Imma, No. 74

Unit cell a=8.7826 b=8.7826 c=8.7826 alpha=120.79 beta=118.47 gamma=90.65
Last column: nearest neighbours and their distance in Å.
Sites, in units of the cell vectors:
Ac: 0.0000 0.0000 0.0000  6 Se 3.08
Ac: 0.5000 0.0000 0.5000  6 Se 3.08
Tl: 0.0000 0.5000 0.5000  6 Se 3.13-3.18
Tl: 0.5000 0.0000 0.0000  6 Se 3.30-3.35
Tl: 0.5000 0.5000 0.0000  6 Se 3.13-3.18
Tl: 0.5000 0.5000 0.5000  6 Se 3.30-3.35
Ge: 0.0000 0.0000 0.5000  6 Se 2.88-2.91
Ge: 0.0000 0.5000 0.0000  6 Se 2.88-2.91
Se: 0.2145 0.2481 0.9663  2 Ge 2.91, 1 Ac 3.08, 1 Tl 3.13
Se: 0.2182 0.7519 0.4663  2 Ge 2.91, 1 Ac 3.08, 1 Tl 3.13
Se: 0.2328 0.2250 0.4922  1 Ge 2.88, 2 Ac 3.08, 2 Tl 3.18
Se: 0.2328 0.7406 0.0078  1 Ge 2.88, 2 Ac 3.08, 2 Tl 3.18
Se: 0.7672 0.2594 0.9922  1 Ge 2.88, 2 Ac 3.08, 2 Tl 3.18
Se: 0.7672 0.7750 0.5078  1 Ge 2.88, 2 Ac 3.08, 2 Tl 3.18
Se: 0.7818 0.2481 0.5337  2 Ge 2.91, 1 Ac 3.08, 1 Tl 3.13
Se: 0.7855 0.7519 0.0337  2 Ge 2.91, 1 Ac 3.08, 1 Tl 3.13



Density functional theory data (GGA-PBE) for a relaxed Tl3Cd3In8 crystal.

Properties
DFT total energy ... -2.2402 eV per atom
Symmetry ... Immm, No. 71

Unit cell a=9.0341 b=9.0341 c=9.0341 alpha=145.84 beta=103.44 gamma=86.56
Last column: nearest neighbours and their distance in Å.
Sites, in units of the cell vectors:
Tl: 0.0000 0.0000 0.0000  12 In 3.50-3.68, 2 Tl 3.58
Tl: 0.2722 0.2722 0.0000  2 Cd 3.36, 6 In 3.58-3.60, 1 Tl 3.58
Tl: 0.7278 0.7278 0.0000  2 Cd 3.36, 6 In 3.58-3.60, 1 Tl 3.58
Cd: 0.3636 0.5000 0.8636  3 Cd 3.05-3.06, 6 In 3.08-3.37, 2 Tl 3.36
Cd: 0.5000 0.0000 0.5000  4 Cd 3.06, 4 In 3.07
Cd: 0.6364 0.5000 0.1364  3 Cd 3.05-3.06, 6 In 3.08-3.37, 2 Tl 3.36
In: 0.0046 0.3694 0.6352  4 In 3.03-3.13, 1 Cd 3.08
In: 0.1407 0.8579 0.2827  3 Cd 3.07-3.37, 3 In 3.13
In: 0.2657 0.6306 0.6352  4 In 3.03-3.13, 1 Cd 3.08
In: 0.4248 0.1421 0.2827  3 Cd 3.07-3.37, 3 In 3.13
In: 0.5752 0.8579 0.7173  3 Cd 3.07-3.37, 3 In 3.13
In: 0.7343 0.3694 0.3648  4 In 3.03-3.13, 1 Cd 3.08
In: 0.8593 0.1421 0.7173  3 Cd 3.07-3.37, 3 In 3.13
In: 0.9954 0.6306 0.3648  4 In 3.03-3.13, 1 Cd 3.08



Density functional theory data (GGA-PBE) for a relaxed Sc2VTc2 crystal.

Properties
DFT total energy ... -8.5689 eV per atom
Symmetry ... P4/mbm, No. 127

Unit cell a=6.2862 b=6.2862 c=4.5394 alpha=90.00 beta=90.00 gamma=90.00
Last column: nearest neighbours and their distance in Å.
Sites, in units of the cell vectors:
Sc: 0.1748 0.3252 0.0000  6 Tc 2.80-3.02, 1 Sc 3.11
Sc: 0.3252 0.8252 0.0000  6 Tc 2.80-3.02, 1 Sc 3.11
Sc: 0.6748 0.1748 0.0000  6 Tc 2.80-3.02, 1 Sc 3.11
Sc: 0.8252 0.6748 0.0000  6 Tc 2.80-3.02, 1 Sc 3.11
V: 0.0000 0.0000 0.5000  4 Tc 2.42
V: 0.5000 0.5000 0.5000  4 Tc 2.42
Tc: 0.1416 0.6416 0.5000  2 V 2.42, 1 Tc 2.52
Tc: 0.3584 0.1416 0.5000  2 V 2.42, 1 Tc 2.52
Tc: 0.6416 0.8584 0.5000  2 V 2.42, 1 Tc 2.52
Tc: 0.8584 0.3584 0.5000  2 V 2.42, 1 Tc 2.52



Repeat the sixth record exactly.
Density functional theory data (GGA-PBE) for a relaxed AlRu2Cl crystal.

Properties
Distance to the lowest polymorph of the same formula ... 1.30 eV per formula unit
ΔE_f (raw) ... 0.22 eV per atom
DFT total energy ... -5.8145 eV per atom
Symmetry ... Pmm2, No. 25

Unit cell a=2.8662 b=3.8243 c=5.6848 alpha=90.00 beta=90.00 gamma=90.00
Last column: nearest neighbours and their distance in Å.
Sites, in units of the cell vectors:
Al: 0.0000 0.0000 0.0000  5 Ru 2.54-2.66
Ru: 0.0000 0.0000 0.5524  1 Al 2.54, 4 Cl 2.58, 4 Ru 2.76
Ru: 0.5000 0.5000 0.7946  1 Cl 2.35
Cl: 0.5000 0.5000 0.3809  5 Ru 2.35-2.58